# 1
Material: Ag3ClF2
Method: DFT, PBE
State: relaxed

The structure in CIF format:
```
data_Ag3ClF2
_symmetry_space_group_name_H-M 'P m m n'
_symmetry_Int_Tables_number 59
_cell_length_a 5.0908
_cell_length_b 10.3608
_cell_length_c 3.7705
_cell_angle_alpha 90.00
_cell_angle_beta 90.00
_cell_angle_gamma 90.00
loop_
_symmetry_equiv_pos_as_xyz
'x,y,z'
'-x,-y,-z'
'-x+1/2,-y+1/2,z'
'x+1/2,y+1/2,-z'
'x+1/2,-y,-z'
'-x+1/2,y,z'
'-x,y+1/2,-z'
'x,-y+1/2,z'
loop_
_atom_site_label
_atom_site_type_symbol
_atom_site_fract_x
_atom_site_fract_y
_atom_site_fract_z
Ag1 Ag 0.2500 0.0563 0.2031
Ag2 Ag 0.2500 0.7500 0.1684
Cl1 Cl 0.2500 0.2500 0.7710
F1 F 0.2500 0.5887 0.6694
```

# 2
Material: HoMgTl
Method: DFT, PBE
State: relaxed

The structure in CIF format:
```
data_HoMgTl
_symmetry_space_group_name_H-M 'F -4 3 m'
_symmetry_Int_Tables_number 216
_symmetry_space_group_name_Hall 'F -4 2 3'
_cell_length_a 7.1388
_cell_length_b 7.1388
_cell_length_c 7.1388
_cell_angle_alpha 90.00
_cell_angle_beta 90.00
_cell_angle_gamma 90.00
loop_
_atom_site_label
_atom_site_type_symbol
_atom_site_fract_x
_atom_site_fract_y
_atom_site_fract_z
Ho1 Ho 0.0000 0.0000 0.0000
Mg1 Mg 0.2500 0.2500 0.7500
Tl1 Tl 0.2500 0.2500 0.2500
```

Properties
- total magnetic moment (μB/atom) = 0.00

Taking the records one at a time from the top gives calculated total energy values of -18.813 -7.735 eV per formula unit.